This record from Alexandria via LeMat-Bulk describes a geometry-optimized Na2MgNi3F12 structure. The functional is PBE with a Hubbard U.

Output
Uncorrected energy   -226.341 eV/cell

```
data_Na2MgNi3F12
_chemical_formula_sum 'Na6 Mg3 Ni9 F36'
_cell_length_a 7.2304
_cell_length_b 7.2304
_cell_length_c 17.6294
_cell_angle_alpha 90.00
_cell_angle_beta 90.00
_cell_angle_gamma 120.00
_space_group_name_H-M_alt 'R -3 m'
_space_group_IT_number 166
_space_group_name_Hall '-R 3 2"'
loop_
_atom_site_label
_atom_site_type_symbol
_atom_site_fract_x
_atom_site_fract_y
_atom_site_fract_z
Na1 Na 0.0000 0.0000 0.1994
Mg1 Mg 0.0000 0.0000 0.5000
Ni1 Ni 0.0000 0.5000 0.0000
F1 F 0.0592 0.5296 0.1072
F2 F 0.0822 0.5411 0.3573
```